[1]
Computed, not measured: a geometry-optimized CaCdIn2 structure at the PBEsol level of DFT.

## Properties
DOS(E_F), states/eV per atom: 0.325
Calculated volume, Å³ per atom: 24.4
Energy of formation, meV per atom: -267
Density, g cm⁻³: 6.49

CIF file:
```
data_CaCdIn2
_cell_length_a 5.170
_cell_length_b 5.170
_cell_length_c 5.170
_cell_angle_alpha 60.00
_cell_angle_beta 60.00
_cell_angle_gamma 60.00
_symmetry_space_group_name_H-M 'P 1'
_symmetry_Int_Tables_number 1
loop_
_symmetry_equiv_pos_as_xyz
'x,y,z'
loop_
_atom_site_label
_atom_site_fract_x
_atom_site_fract_y
_atom_site_fract_z
Ca1 0.500 0.500 0.500
In1 0.000 0.000 0.000
In2 0.750 0.750 0.750
Cd1 0.250 0.250 0.250
```

[2]
Computed, not measured: a geometry-optimized Ba2U2O7 structure at the PBEsol level of DFT.

## Properties
DOS(E_F), states/eV per atom: 0.341
Calculated volume, Å³ per atom: 17.0
Formation energy without anion corrections, eV per atom: -3.19
Density, g cm⁻³: 7.66

CIF file:
```
data_Ba2U2O7
_cell_length_a 8.059
_cell_length_b 8.059
_cell_length_c 8.059
_cell_angle_alpha 91.32
_cell_angle_beta 119.43
_cell_angle_gamma 119.04
_symmetry_space_group_name_H-M 'P 1'
_symmetry_Int_Tables_number 1
loop_
_symmetry_equiv_pos_as_xyz
'x,y,z'
loop_
_atom_site_label
_atom_site_fract_x
_atom_site_fract_y
_atom_site_fract_z
Ba1 0.000 0.000 0.000
Ba2 0.000 0.500 0.500
Ba3 0.500 0.500 0.500
Ba4 0.000 0.500 0.000
U1 0.000 0.000 0.500
U2 0.500 0.000 0.500
U3 0.500 0.000 0.000
U4 0.500 0.500 0.000
O1 0.839 0.089 0.250
O2 0.229 0.314 0.677
O3 0.285 0.379 0.094
O4 0.638 0.314 0.086
O5 0.362 0.686 0.914
O6 0.771 0.686 0.323
O7 0.715 0.309 0.594
O8 0.771 0.948 0.586
O9 0.362 0.948 0.177
O10 0.161 0.911 0.750
O11 0.715 0.621 0.906
O12 0.229 0.052 0.414
O13 0.638 0.052 0.823
O14 0.285 0.691 0.406
```

[3]
Computed, not measured: a geometry-optimized TlIn2Os structure at the PBEsol level of DFT.

## Properties
DOS(E_F), states/eV per atom: 0.587
Calculated volume, Å³ per atom: 19.9
Energy of formation, meV per atom: 647
Density, g cm⁻³: 13.04

CIF file:
```
data_TlIn2Os
_cell_length_a 3.248
_cell_length_b 4.948
_cell_length_c 4.948
_cell_angle_alpha 90.00
_cell_angle_beta 90.00
_cell_angle_gamma 90.00
_symmetry_space_group_name_H-M 'P 1'
_symmetry_Int_Tables_number 1
loop_
_symmetry_equiv_pos_as_xyz
'x,y,z'
loop_
_atom_site_label
_atom_site_fract_x
_atom_site_fract_y
_atom_site_fract_z
In1 0.000 0.000 0.500
In2 0.000 0.500 0.000
Os1 0.500 0.500 0.500
Tl1 0.500 0.000 0.000
```

[4]
Computed, not measured: a geometry-optimized CuRhBr structure at the PBEsol level of DFT.

## Properties
DOS(E_F), states/eV per atom: 1.421
Calculated volume, Å³ per atom: 15.0
Formation energy without anion corrections, eV per atom: 0.50
Density, g cm⁻³: 9.09

CIF file:
```
data_CuRhBr
_cell_length_a 3.312
_cell_length_b 3.312
_cell_length_c 4.723
_cell_angle_alpha 110.52
_cell_angle_beta 110.52
_cell_angle_gamma 90.00
_symmetry_space_group_name_H-M 'P 1'
_symmetry_Int_Tables_number 1
loop_
_symmetry_equiv_pos_as_xyz
'x,y,z'
loop_
_atom_site_label
_atom_site_fract_x
_atom_site_fract_y
_atom_site_fract_z
Br1 0.993 0.993 0.986
Cu1 0.323 0.323 0.647
Rh1 0.684 0.684 0.368
```

[5]
Computed, not measured: a geometry-optimized Cu2ReAu structure at the PBEsol level of DFT.

## Properties
DOS(E_F), states/eV per atom: 0.925
Calculated volume, Å³ per atom: 13.7
Energy of formation, meV per atom: 370
Density, g cm⁻³: 15.51

CIF file:
```
data_Cu2ReAu
_cell_length_a 2.614
_cell_length_b 4.676
_cell_length_c 4.718
_cell_angle_alpha 99.05
_cell_angle_beta 90.01
_cell_angle_gamma 106.19
_symmetry_space_group_name_H-M 'P 1'
_symmetry_Int_Tables_number 1
loop_
_symmetry_equiv_pos_as_xyz
'x,y,z'
loop_
_atom_site_label
_atom_site_fract_x
_atom_site_fract_y
_atom_site_fract_z
Au1 0.250 0.500 0.755
Cu1 0.006 0.010 0.006
Cu2 0.749 0.498 0.251
Re1 0.496 0.991 0.488
```

[6]
Computed, not measured: a geometry-optimized In2CuIr structure at the PBEsol level of DFT.

## Properties
DOS(E_F), states/eV per atom: 0.428
Calculated volume, Å³ per atom: 16.6
Energy of formation, meV per atom: 242
Density, g cm⁻³: 12.14

CIF file:
```
data_In2CuIr
_cell_length_a 4.545
_cell_length_b 4.545
_cell_length_c 4.545
_cell_angle_alpha 60.00
_cell_angle_beta 60.00
_cell_angle_gamma 60.00
_symmetry_space_group_name_H-M 'P 1'
_symmetry_Int_Tables_number 1
loop_
_symmetry_equiv_pos_as_xyz
'x,y,z'
loop_
_atom_site_label
_atom_site_fract_x
_atom_site_fract_y
_atom_site_fract_z
Cu1 0.500 0.500 0.500
In1 0.000 0.000 0.000
In2 0.750 0.750 0.750
Ir1 0.250 0.250 0.250
```

[7]
Computed, not measured: a geometry-optimized GeIO2 structure at the PBEsol level of DFT.

## Properties
DOS(E_F), states/eV per atom: 0.047
Calculated volume, Å³ per atom: 16.5
Formation energy without anion corrections, eV per atom: -0.85
Density, g cm⁻³: 5.82

CIF file:
```
data_GeIO2
_cell_length_a 5.717
_cell_length_b 5.717
_cell_length_c 5.717
_cell_angle_alpha 60.00
_cell_angle_beta 60.00
_cell_angle_gamma 60.00
_symmetry_space_group_name_H-M 'P 1'
_symmetry_Int_Tables_number 1
loop_
_symmetry_equiv_pos_as_xyz
'x,y,z'
loop_
_atom_site_label
_atom_site_fract_x
_atom_site_fract_y
_atom_site_fract_z
I1 0.750 0.750 0.750
I2 0.500 0.500 0.500
Ge1 0.250 0.250 0.250
Ge2 0.000 0.000 0.000
O1 0.125 0.125 0.625
O2 0.125 0.125 0.125
O3 0.625 0.125 0.125
O4 0.125 0.625 0.125
```

[8]
Computed, not measured: a geometry-optimized Ir5W3 structure at the PBEsol level of DFT.

## Properties
DOS(E_F), states/eV per atom: 0.567
Calculated volume, Å³ per atom: 14.6
Energy of formation, meV per atom: -264
Density, g cm⁻³: 21.54

CIF file:
```
data_Ir5W3
_cell_length_a 3.879
_cell_length_b 5.483
_cell_length_c 5.483
_cell_angle_alpha 90.16
_cell_angle_beta 90.00
_cell_angle_gamma 90.00
_symmetry_space_group_name_H-M 'P 1'
_symmetry_Int_Tables_number 1
loop_
_symmetry_equiv_pos_as_xyz
'x,y,z'
loop_
_atom_site_label
_atom_site_fract_x
_atom_site_fract_y
_atom_site_fract_z
Ir1 0.000 0.000 0.000
Ir2 0.000 0.000 0.500
Ir3 0.000 0.500 0.000
Ir4 0.500 0.747 0.253
Ir5 0.500 0.253 0.747
W1 0.000 0.500 0.500
W2 0.500 0.249 0.249
W3 0.500 0.751 0.751
```

[9]
Computed, not measured: a geometry-optimized SiTc2Ni structure at the PBEsol level of DFT.

## Properties
DOS(E_F), states/eV per atom: 0.917
Calculated volume, Å³ per atom: 12.4
Formation energy without anion corrections, eV per atom: -0.19
Density, g cm⁻³: 9.43

CIF file:
```
data_SiTc2Ni
_cell_length_a 2.884
_cell_length_b 2.884
_cell_length_c 5.985
_cell_angle_alpha 90.00
_cell_angle_beta 90.00
_cell_angle_gamma 90.00
_symmetry_space_group_name_H-M 'P 1'
_symmetry_Int_Tables_number 1
loop_
_symmetry_equiv_pos_as_xyz
'x,y,z'
loop_
_atom_site_label
_atom_site_fract_x
_atom_site_fract_y
_atom_site_fract_z
Ni1 0.500 0.500 0.000
Si1 0.500 0.500 0.500
Tc1 0.000 0.000 0.742
Tc2 0.000 0.000 0.258
```

[10]
Computed, not measured: a geometry-optimized FeCo2Se4 structure at the PBEsol level of DFT.

## Properties
DOS(E_F), states/eV per atom: 0.691
Calculated volume, Å³ per atom: 15.3
Formation energy without anion corrections, eV per atom: -0.33
Density, g cm⁻³: 7.61

CIF file:
```
data_FeCo2Se4
_cell_length_a 3.508
_cell_length_b 6.051
_cell_length_c 6.033
_cell_angle_alpha 117.98
_cell_angle_beta 106.90
_cell_angle_gamma 90.00
_symmetry_space_group_name_H-M 'P 1'
_symmetry_Int_Tables_number 1
loop_
_symmetry_equiv_pos_as_xyz
'x,y,z'
loop_
_atom_site_label
_atom_site_fract_x
_atom_site_fract_y
_atom_site_fract_z
Co1 0.737 0.718 0.474
Co2 0.263 0.282 0.526
Fe1 0.000 0.000 0.000
Se1 0.880 0.547 0.761
Se2 0.120 0.453 0.239
Se3 0.633 0.975 0.266
Se4 0.367 0.025 0.734
```

[11]
Computed, not measured: a geometry-optimized Sb6S2O15 structure at the PBEsol level of DFT.

## Properties
DOS(E_F), states/eV per atom: 0.000
Calculated volume, Å³ per atom: 14.5
Formation energy without anion corrections, eV per atom: -1.39
Density, g cm⁻³: 5.16

CIF file:
```
data_Sb6S2O15
_cell_length_a 5.837
_cell_length_b 11.184
_cell_length_c 11.184
_cell_angle_alpha 114.25
_cell_angle_beta 90.00
_cell_angle_gamma 90.00
_symmetry_space_group_name_H-M 'P 1'
_symmetry_Int_Tables_number 1
loop_
_symmetry_equiv_pos_as_xyz
'x,y,z'
loop_
_atom_site_label
_atom_site_fract_x
_atom_site_fract_y
_atom_site_fract_z
Sb1 0.121 0.698 0.115
Sb2 0.121 0.302 0.885
Sb3 0.621 0.885 0.302
Sb4 0.621 0.115 0.698
Sb5 0.611 0.247 0.379
Sb6 0.611 0.753 0.621
Sb7 0.111 0.621 0.753
Sb8 0.111 0.379 0.247
Sb9 0.499 0.826 0.959
Sb10 0.499 0.174 0.041
Sb11 0.999 0.041 0.174
Sb12 0.999 0.959 0.826
S1 0.661 0.476 0.787
S2 0.661 0.524 0.213
S3 0.161 0.213 0.524
S4 0.161 0.787 0.476
O1 0.670 0.488 0.661
O2 0.670 0.512 0.339
O3 0.170 0.339 0.512
O4 0.170 0.661 0.488
O5 0.718 0.340 0.772
O6 0.718 0.660 0.228
O7 0.218 0.228 0.660
O8 0.218 0.772 0.340
O9 0.848 0.564 0.875
O10 0.848 0.436 0.125
O11 0.348 0.125 0.436
O12 0.348 0.875 0.564
O13 0.843 0.000 0.000
O14 0.343 0.000 0.000
O15 0.881 0.759 0.756
O16 0.881 0.241 0.244
O17 0.381 0.244 0.241
O18 0.381 0.756 0.759
O19 0.170 0.256 0.052
O20 0.170 0.744 0.948
O21 0.670 0.948 0.744
O22 0.670 0.052 0.256
O23 0.891 0.156 0.828
O24 0.891 0.844 0.172
O25 0.391 0.172 0.844
O26 0.391 0.828 0.156
O27 0.438 0.518 0.854
O28 0.438 0.482 0.146
O29 0.938 0.146 0.482
O30 0.938 0.854 0.518
```

[12]
Computed, not measured: a geometry-optimized MnTc2Os structure at the PBEsol level of DFT.

## Properties
DOS(E_F), states/eV per atom: 1.008
Calculated volume, Å³ per atom: 13.6
Energy of formation, meV per atom: 270
Density, g cm⁻³: 13.44

CIF file:
```
data_MnTc2Os
_cell_length_a 4.256
_cell_length_b 4.256
_cell_length_c 4.256
_cell_angle_alpha 60.00
_cell_angle_beta 60.00
_cell_angle_gamma 60.00
_symmetry_space_group_name_H-M 'P 1'
_symmetry_Int_Tables_number 1
loop_
_symmetry_equiv_pos_as_xyz
'x,y,z'
loop_
_atom_site_label
_atom_site_fract_x
_atom_site_fract_y
_atom_site_fract_z
Mn1 0.500 0.500 0.500
Os1 0.250 0.250 0.250
Tc1 0.000 0.000 0.000
Tc2 0.750 0.750 0.750
```

Q: Number 10 is which compound?
A: FeCo2Se4

What did the fifth record say?
Computed, not measured: a geometry-optimized Cu2ReAu structure at the PBEsol level of DFT.

## Properties
DOS(E_F), states/eV per atom: 0.925
Calculated volume, Å³ per atom: 13.7
Energy of formation, meV per atom: 370
Density, g cm⁻³: 15.51

CIF file:
```
data_Cu2ReAu
_cell_length_a 2.614
_cell_length_b 4.676
_cell_length_c 4.718
_cell_angle_alpha 99.05
_cell_angle_beta 90.01
_cell_angle_gamma 106.19
_symmetry_space_group_name_H-M 'P 1'
_symmetry_Int_Tables_number 1
loop_
_symmetry_equiv_pos_as_xyz
'x,y,z'
loop_
_atom_site_label
_atom_site_fract_x
_atom_site_fract_y
_atom_site_fract_z
Au1 0.250 0.500 0.755
Cu1 0.006 0.010 0.006
Cu2 0.749 0.498 0.251
Re1 0.496 0.991 0.488
```